(1)
First-principles (PBE) data for an optimized crystal structure of Ag5Pt6, as listed in Alexandria.

Cell and atoms, written as extended XYZ:
```
11
Lattice="6.4274 -1.3950 0.0000 6.4274 1.3950 0.0000 -6.3659 0.0000 10.1351" Properties=species:S:1:pos:R:3 pbc="T T T"
Ag 0.0000 0.0000 0.0000
Ag -2.8908 0.0000 6.4388
Ag -2.3153 0.0000 9.1840
Ag 8.8041 0.0000 0.9511
Ag 9.3796 0.0000 3.6962
Pt 0.5704 0.0000 2.8043
Pt 1.1598 0.0000 5.5223
Pt 4.7598 0.0000 1.8901
Pt 1.7289 0.0000 8.2450
Pt 5.3290 0.0000 4.6128
Pt 5.9184 0.0000 7.3307
```

## Properties
Density of states at the Fermi level: 0.9210 states/eV/atom
ΔE to the lowest computed polymorph: 31.0 meV per atom
Total energy: -4.5624 eV/atom
Magnetic moment: 0.0000 μB per atom
Space group: No. 12
Calculated formation energy: 0.029 eV per atom

---

(2)
First-principles (PBE) data for an optimized crystal structure of Ag5Pt, as listed in Alexandria.

Cell and atoms, written as extended XYZ:
```
6
Lattice="5.3020 0.0000 0.0000 -2.6510 4.5916 0.0000 0.0000 0.0000 4.7930" Properties=species:S:1:pos:R:3 pbc="T T T"
Ag -1.3255 2.2958 0.0000
Ag 0.0000 3.0611 2.3965
Ag 2.6510 0.0000 0.0000
Ag 1.3255 2.2958 0.0000
Ag 2.6510 1.5305 2.3965
Pt 0.0000 0.0000 2.3965
```

## Properties
Density of states at the Fermi level: 0.5217 states/eV/atom
ΔE to the lowest computed polymorph: 367.0 meV per atom
Total energy: -3.0012 eV/atom
Magnetic moment: 0.0000 μB per atom
Space group: No. 191
Calculated formation energy: 0.382 eV per atom

---

(3)
First-principles (PBE) data for an optimized crystal structure of AgPt5, as listed in Alexandria.

Cell and atoms, written as extended XYZ:
```
12
Lattice="4.8803 0.0000 0.0000 0.8315 4.8278 0.0000 0.8009 2.3214 8.1081" Properties=species:S:1:pos:R:3 pbc="T T T"
Ag 0.8144 0.6809 1.6886
Ag 5.6984 6.4683 6.4195
Pt 1.6413 4.6553 4.4026
Pt 1.6370 3.8375 7.0868
Pt 2.4081 2.0570 5.0411
Pt 2.4596 2.8826 2.3657
Pt 3.2713 6.0236 7.7814
Pt 3.2415 1.1256 0.3267
Pt 4.0532 4.2666 5.7424
Pt 4.1046 5.0922 3.0670
Pt 4.8757 3.3117 1.0213
Pt 4.8714 2.4939 3.7055
```

## Properties
Density of states at the Fermi level: 1.7283 states/eV/atom
Total energy: -5.4804 eV/atom
Magnetic moment: 0.0001 μB per atom
Space group: No. 2
Calculated formation energy: 0.029 eV per atom

---

(4)
First-principles (PBE) data for an optimized crystal structure of AgPt, as listed in Alexandria.

Cell and atoms, written as extended XYZ:
```
8
Lattice="4.8598 0.0000 0.0000 0.0000 4.7178 0.0000 0.0000 0.0000 5.8109" Properties=species:S:1:pos:R:3 pbc="T T T"
Ag 0.3573 1.1795 0.7264
Ag 2.0726 3.5384 3.6319
Ag 2.7872 1.1795 2.1790
Ag 4.5025 3.5384 5.0845
Pt 0.2991 1.1795 3.6441
Pt 2.1308 3.5384 0.7387
Pt 2.7290 1.1795 5.0722
Pt 4.5607 3.5384 2.1668
```

## Properties
Density of states at the Fermi level: 1.2652 states/eV/atom
Total energy: -4.3601 eV/atom
Magnetic moment: 0.0000 μB per atom
Space group: No. 62
Calculated formation energy: 0.086 eV per atom

---

(5)
First-principles (PBE) data for an optimized crystal structure of AgPt, as listed in Alexandria.

Cell and atoms, written as extended XYZ:
```
16
Lattice="4.0588 0.0000 0.0000 0.0000 4.0588 0.0000 0.0000 0.0000 16.2061" Properties=species:S:1:pos:R:3 pbc="T T T"
Ag 0.0000 0.0000 2.0274
Ag 0.0000 0.0000 14.1786
Ag 0.0000 2.0294 4.0515
Ag 0.0000 2.0294 12.1546
Ag 2.0294 0.0000 4.0515
Ag 2.0294 0.0000 12.1546
Ag 2.0294 2.0294 6.0756
Ag 2.0294 2.0294 10.1305
Pt 0.0000 0.0000 6.1903
Pt 0.0000 0.0000 10.0158
Pt 0.0000 2.0294 0.0000
Pt 0.0000 2.0294 8.1030
Pt 2.0294 0.0000 0.0000
Pt 2.0294 0.0000 8.1030
Pt 2.0294 2.0294 1.9127
Pt 2.0294 2.0294 14.2933
```

## Properties
Density of states at the Fermi level: 1.0494 states/eV/atom
Total energy: -4.4034 eV/atom
Magnetic moment: 0.0000 μB per atom
Space group: No. 139
Calculated formation energy: 0.043 eV per atom

---

(6)
First-principles (PBE) data for an optimized crystal structure of Ag5Pt4, as listed in Alexandria.

Cell and atoms, written as extended XYZ:
```
9
Lattice="4.5269 -2.0564 0.0000 4.5269 2.0564 0.0000 -2.6011 0.0000 8.0791" Properties=species:S:1:pos:R:3 pbc="T T T"
Ag 0.0000 0.0000 0.0000
Ag -1.7073 0.0000 5.3760
Ag 1.0232 0.0000 6.2888
Ag 5.4296 0.0000 1.7903
Ag 8.1601 0.0000 2.7031
Pt 2.6658 0.0000 0.8969
Pt 1.8424 0.0000 3.5778
Pt 4.6104 0.0000 4.5013
Pt 3.7870 0.0000 7.1822
```

## Properties
Density of states at the Fermi level: 0.6710 states/eV/atom
ΔE to the lowest computed polymorph: 45.6 meV per atom
Total energy: -4.2170 eV/atom
Magnetic moment: 0.0000 μB per atom
Space group: No. 12
Calculated formation energy: 0.052 eV per atom